No. 1
Here is a geometry-optimized CaCuSbH2 structure from Alexandria via LeMat-Bulk. Energies are from PBE-GGA.

POSCAR file:
```
CaCuSbH2
1.0
3.9506 0.0000 0.0000
0.0000 3.9506 0.0000
0.0000 0.0000 7.1174
Ca Cu Sb H
1 1 1 2
Cartesian
0.0000 0.0000 0.0000 Ca
1.9753 1.9753 3.5587 Cu
0.0000 0.0000 3.5587 Sb
0.0000 1.9753 0.0000 H
1.9753 0.0000 0.0000 H
```


No. 2
Here is a geometry-optimized BaTa2Be structure from Alexandria via LeMat-Bulk. Energies are from PBE-GGA.

POSCAR file:
```
BaTa2Be
1.0
5.8417 0.0000 0.0000
0.0000 10.6950 0.0000
-1.7665 0.0000 2.6956
Ba Ta Be
2 4 2
Cartesian
0.0000 0.0000 0.0000 Ba
2.9209 5.3475 0.0000 Ba
0.5772 2.6738 1.3478 Ta
0.5772 8.0213 1.3478 Ta
3.4981 2.6738 1.3478 Ta
3.4981 8.0213 1.3478 Ta
0.0000 5.3475 0.0000 Be
2.9209 0.0000 0.0000 Be
```

Computed properties:
calculated formation energy: 115 kJ per mole of atoms


No. 3
Here is a geometry-optimized FeCu2Mo structure from Alexandria via LeMat-Bulk. Energies are from PBE-GGA.

POSCAR file:
```
FeCu2Mo
1.0
8.6122 0.0000 0.0000
0.0000 2.5589 0.0000
-0.6289 0.0000 4.6916
Fe Cu Mo
2 4 2
Cartesian
0.0000 0.0000 0.0000 Fe
4.3061 1.2794 0.0000 Fe
1.9254 1.2794 1.2514 Cu
3.9174 0.0000 2.2906 Cu
6.2315 0.0000 1.2514 Cu
8.2235 1.2794 2.2906 Cu
1.6090 0.0000 3.6058 Mo
5.9151 1.2794 3.6058 Mo
```

Computed properties:
calculated formation energy: 23 kJ per mole of atoms
energy above the lowest structure with this stoichiometry: 84 meV/atom


No. 4
Here is a geometry-optimized Ba2Cu5Ge4 structure from Alexandria via LeMat-Bulk. Energies are from PBE-GGA.

POSCAR file:
```
Ba2Cu5Ge4
1.0
0.0000 5.9200 6.1682
3.1396 0.0000 6.1682
3.1396 5.9200 0.0000
Ba Cu Ge
2 5 4
Cartesian
3.1396 1.7749 6.1682 Ba
3.1396 10.0650 6.1682 Ba
1.5698 0.0000 3.0841 Cu
1.5698 2.9600 3.0841 Cu
1.5698 5.9200 3.0841 Cu
3.1396 5.9200 6.1682 Cu
4.7094 8.8800 9.2524 Cu
3.1396 4.4509 4.2600 Ge
3.1396 7.3890 4.2600 Ge
3.1396 4.4509 8.0765 Ge
3.1396 7.3890 8.0765 Ge
```

Computed properties:
calculated formation energy: -18 kJ per mole of atoms


Total energy, record by record: -3.105, -6.151, -6.633, -4.080 eV per atom